[1]
Below is crystalline HfFe2Tc at its relaxed geometry, with properties calculated at the PBE level.

Structure (extended XYZ):
```
4
Lattice="-1.352 -1.340 3.880 1.320 2.044 3.572 -2.784 2.405 2.267" Properties=species:S:1:pos:R:3 pbc="T T T"
Fe 0.000 0.000 0.000
Fe -0.704 0.777 2.430
Hf -1.408 1.554 4.860
Tc -2.112 2.332 7.290
```

Calculated values
V, Å³/cell: 57
M_tot, μB/atom: 0.944
DFT total energy, eV/atom: -9.2386

=====

[2]
Below is crystalline YHf2Ni2 at its relaxed geometry, with properties calculated at the PBE level.

Structure (extended XYZ):
```
5
Lattice="-2.206 2.206 5.046 2.206 -2.206 5.046 2.206 2.206 -5.046" Properties=species:S:1:pos:R:3 pbc="T T T"
Hf 0.000 2.206 2.523
Hf 2.206 0.000 2.523
Ni 0.000 0.000 3.875
Ni 0.000 0.000 6.217
Y 0.000 0.000 0.000
```

Calculated values
V, Å³/cell: 98
M_tot, μB/atom: 0.000
DFT total energy, eV/atom: -7.8023

=====

[3]
Below is crystalline Sm2HgO4 at its relaxed geometry, with properties calculated at the PBE level.

Structure (extended XYZ):
```
14
Lattice="1.646 6.752 0.293 3.570 -4.272 -4.170 -6.575 1.668 -1.538" Properties=species:S:1:pos:R:3 pbc="T T T"
Hg 0.000 0.000 0.000
Hg 1.376 3.345 -2.250
O 0.488 -1.563 -3.783
O -0.741 3.822 -1.353
O 1.226 1.468 -3.652
O -1.507 0.442 -1.745
O -3.693 4.571 -2.043
O -2.856 -0.726 -4.307
O -4.459 1.192 -2.435
O -2.118 2.305 -4.175
Sm 2.473 -0.463 -3.210
Sm -2.600 2.507 -1.894
Sm -1.777 5.883 -1.747
Sm -0.815 0.371 -3.979
```

Calculated values
V, Å³/cell: 238
Energy relative to the lowest polymorph listed for this composition, eV/f.u.: 1.10
M_tot, μB/atom: 0.000

=====

[4]
Below is crystalline TmSi2 at its relaxed geometry, with properties calculated at the PBE level.

Structure (extended XYZ):
```
3
Lattice="-0.949 2.477 3.115 2.742 -2.990 0.527 2.807 2.390 -1.046" Properties=species:S:1:pos:R:3 pbc="T T T"
Si 1.685 1.850 1.729
Si 2.915 0.027 0.867
Tm 0.000 0.000 0.000
```

Calculated values
V, Å³/cell: 56
M_tot, μB/atom: 0.000
DFT total energy, eV/atom: -5.5784